# CaAg2TeSe GGA-PBE relaxed
data_CaAg2TeSe
_cell_length_a 8.324
_cell_length_b 8.324
_cell_length_c 8.324
_cell_angle_alpha 136.26
_cell_angle_beta 136.26
_cell_angle_gamma 63.57
_symmetry_space_group_name_H-M 'P 1'
_symmetry_Int_Tables_number 1
loop_
_symmetry_equiv_pos_as_xyz
'x,y,z'
loop_
_atom_site_label
_atom_site_type_symbol
_atom_site_fract_x
_atom_site_fract_y
_atom_site_fract_z
Ca1 Ca 0.000 0.000 0.000
Ca2 Ca 0.500 0.500 0.000
Ag1 Ag 0.006 0.506 0.168
Ag2 Ag 0.339 0.839 0.832
Ag3 Ag 0.506 0.339 0.500
Ag4 Ag 0.839 0.006 0.500
Te1 Te 0.280 0.280 0.000
Te2 Te 0.780 0.780 0.000
Se1 Se 0.010 0.510 0.500
Se2 Se 0.510 0.010 0.500
# E_tot in eV/atom: -3.569
# Polymorph energy (0 for the lowest one) in meV per atom: 0
# Space group: No. 108
# Energy relative to the elements, uncorrected in kJ/mol of atoms: -67.78
# Mass density in g/cm3: 5.64

=====

# CaAg2TeSe GGA-PBE relaxed
data_CaAg2TeSe
_cell_length_a 4.981
_cell_length_b 4.981
_cell_length_c 5.732
_cell_angle_alpha 90.00
_cell_angle_beta 90.00
_cell_angle_gamma 90.00
_symmetry_space_group_name_H-M 'P 1'
_symmetry_Int_Tables_number 1
loop_
_symmetry_equiv_pos_as_xyz
'x,y,z'
loop_
_atom_site_label
_atom_site_type_symbol
_atom_site_fract_x
_atom_site_fract_y
_atom_site_fract_z
Ca1 Ca 0.000 0.000 0.000
Ag1 Ag 0.000 0.500 0.500
Ag2 Ag 0.500 0.000 0.500
Te1 Te 0.500 0.500 0.000
Se1 Se 0.000 0.000 0.500
# E_tot in eV/atom: -3.378
# Polymorph energy (0 for the lowest one) in meV per atom: 191
# Space group: No. 123
# Energy relative to the elements, uncorrected in kJ/mol of atoms: -49.36
# Density of states at the Fermi level in states/eV/atom: 0.000
# Mass density in g/cm3: 5.40